ZrZnIn3, optimized geometry, DFT PBE-GGA; energy = -2.8986 eV/atom; SG = Pm-3m, No. 221; formation energy from the elements = 709 meV/atom
1.0
5.6920 0.0000 0.0000
0.0000 5.6920 0.0000
0.0000 0.0000 5.6920
Zr In Zn
1 3 1
Cartesian
0.0000 0.0000 0.0000
0.0000 2.8460 0.0000
0.0000 0.0000 2.8460
2.8460 0.0000 0.0000
2.8460 2.8460 2.8460

=====

Zr6ZnIn5, optimized geometry, DFT PBE-GGA; energy = -5.8213 eV/atom; SG = P2/m, No. 10; formation energy from the elements = -300 meV/atom
1.0
-3.3508 2.9141 0.0071
-4.3659 -5.0325 5.7553
1.1622 4.7426 5.0291
In Zr Zn
5 6 1
Cartesian
-1.4401 5.1248 3.3896
-2.9128 0.0352 4.5554
-3.6417 2.5890 6.2360
-2.1829 -2.5162 2.8776
-0.7485 2.5319 1.6466
-0.8426 2.4265 4.7753
-3.4806 2.7698 3.0747
-4.9852 -2.3581 4.3667
-2.7314 0.2397 1.3957
-5.7119 0.1977 6.0162
-3.0739 -0.1456 7.7167
0.0000 0.0000 0.0000

=====

Zr7ZnIn3, optimized geometry, DFT PBE-GGA; energy = -6.3426 eV/atom; SG = P2_1/m, No. 11; formation energy from the elements = -40 meV/atom
1.0
-1.5482 2.6430 0.5272
-9.1749 -6.0556 -5.1694
-3.7393 -4.5857 12.0086
Zr In Zn
14 6 2
Cartesian
-5.7009 -3.4980 9.9383
-4.7707 -2.3573 6.9511
-9.6917 -5.6410 0.4153
-12.4746 -8.5396 6.3772
-6.8686 -4.4034 2.2362
-8.7616 -4.5003 -2.5719
-8.7592 -5.0239 8.8726
-3.1552 -0.8903 4.7381
-9.8006 -6.7936 5.5470
-7.5939 -3.5948 5.1302
-1.9878 0.5413 0.9892
-4.6618 -1.2047 1.8194
-5.7033 -2.9743 -1.5062
-11.3073 -7.1080 2.6283
-3.1291 -1.6042 -0.9005
-9.8077 -4.5230 3.3673
-8.3215 -2.9591 0.0098
-4.6548 -3.4752 3.9991
-6.1409 -5.0392 7.3566
-11.3334 -6.3941 8.2669
-10.0230 -7.1131 -2.1063
-4.4395 -0.8852 9.4726

=====

ZrZnIn, optimized geometry, DFT PBE-GGA; energy = -4.1969 eV/atom; SG = P3m1, No. 156; formation energy from the elements = -10 meV/atom
1.0
-0.2147 2.0009 -2.4198
-0.2865 -3.0960 -0.4879
-7.3004 0.5074 1.0672
In Zn Zr
1 1 1
Cartesian
-0.0676 0.0047 0.0099
-2.6950 0.4727 -1.4168
-5.0390 -1.0650 -0.4337